# 1
## YSb3Cl (GGA-PBE)

Data for a relaxed YSb3Cl crystal.

Summary:
Excess energy over the best structure of this formula in the dataset: 0.000 eV/f.u.
Energy relative to the elements, uncorrected: 0.18 eV per atom
SG: Pm-3m (221)

Geometry as extended XYZ:
```
5
Lattice="5.276 0.000 0.000 0.000 5.276 0.000 0.000 0.000 5.276" Properties=species:S:1:pos:R:3 pbc="T T T"
Y 0.000 0.000 0.000
Sb 0.000 2.638 2.638
Sb 2.638 0.000 2.638
Sb 2.638 2.638 0.000
Cl 2.638 2.638 2.638
```

# 2
## YSbCl2 (GGA-PBE)

Data for a relaxed YSbCl2 crystal.

Summary:
Excess energy over the best structure of this formula in the dataset: 1.308 eV/f.u.
Energy relative to the elements, uncorrected: -1.00 eV per atom
SG: Cmmm (65)

Geometry as extended XYZ:
```
4
Lattice="1.838 -2.910 0.000 1.838 2.910 0.000 0.000 0.000 12.795" Properties=species:S:1:pos:R:3 pbc="T T T"
Y 0.000 0.000 0.000
Sb 0.000 0.000 6.397
Cl 1.838 0.000 1.929
Cl 1.838 0.000 10.866
```

Calculated total magnetic moment, 0.000, 0.000 μB/f.u. (same order as the records).